No. 1
# CoNiAsPt

A geometry-optimized CoNiAsPt structure (GGA-PBE, OQMD).

Its energy relative to the lowest polymorph listed for this composition is 0.0 kJ/mol of atoms. As for the total moment: 1.638 μB per formula unit.

POSCAR file:
```
CoNiAsPt
1.0
0.000 2.990 2.990
2.990 0.000 2.990
2.990 2.990 0.000
Co Ni As Pt
1 1 1 1
Cartesian
0.000 0.000 0.000
1.495 1.495 1.495
4.484 4.484 4.484
2.990 2.990 2.990
```

No. 2
# CsLaTmSe3

A geometry-optimized CsLaTmSe3 structure (GGA-PBE, OQMD).

As for the total moment: 0.003 μB per formula unit. The final energy comes out at -60.9 eV for the cell shown.

POSCAR file:
```
CsLaTmSe3
1.0
2.310 -8.113 0.000
2.310 8.113 0.000
0.000 0.000 11.773
Cs La Tm Se
2 2 2 6
Cartesian
2.310 4.246 8.830
2.310 -4.246 2.943
2.310 0.000 0.000
2.310 0.000 5.887
2.310 7.584 2.943
2.310 -7.584 8.830
2.310 6.154 0.691
2.310 6.154 5.196
2.310 0.903 2.943
2.310 -0.903 8.830
2.310 -6.154 6.578
2.310 -6.154 11.082
```

No. 3
# HfCuAsAu

A geometry-optimized HfCuAsAu structure (GGA-PBE, OQMD).

Its energy relative to the lowest polymorph listed for this composition is 19.8 kJ/mol of atoms. As for the total moment: 0.002 μB per formula unit.

POSCAR file:
```
HfCuAsAu
1.0
0.000 3.290 3.290
3.290 0.000 3.290
3.290 3.290 0.000
Hf Cu As Au
1 1 1 1
Cartesian
0.000 0.000 0.000
4.935 4.935 4.935
3.290 3.290 3.290
1.645 1.645 1.645
```